Compound: SrSi3Hg
Source: Alexandria
Functional: PBEsol
Structure: optimized geometry

The value obtained for the density is 4.68 g/cm³. Its calculated volume is 26.43 Å³ per atom. As for the formation energy without anion corrections: 62.18 kJ per mole of atoms. The calculation puts the total magnetization at 0.000 μB per atom. As for the space group: Pm-3m (221). The total energy is -16.43 eV per cell.

Unit cell a=5.093 b=5.093 c=5.093 alpha=90.00 beta=90.00 gamma=90.00
Sites, in units of the cell vectors:
Sr1 0.500 0.500 0.500
Si1 0.000 0.500 0.000
Si2 0.000 0.000 0.500
Si3 0.500 0.000 0.000
Hg1 0.000 0.000 0.000